1.
Below is a geometry-optimized Th3Si4Rh2 structure, with properties calculated at the PBE level.

Unit cell a=5.936 b=5.936 c=8.297 alpha=107.82 beta=107.82 gamma=41.56
Positions (direct):
Th: 0.000 0.000 0.000
Th: 0.383 0.383 0.308
Th: 0.617 0.617 0.692
Si: 0.099 0.099 0.394
Si: 0.280 0.280 0.930
Si: 0.720 0.720 0.070
Si: 0.901 0.901 0.606
Rh: 0.305 0.305 0.641
Rh: 0.695 0.695 0.359

Properties
Total DFT energy (no corrections)   -0.272 hartree per atom
ΔE_f (raw)   -776 kJ/mol of formula units
Size of the total moment   0.00 μB/cell
Energy relative to the lowest polymorph listed for this composition   0.664 eV per formula unit
Symmetry   No. 12
Crystal system   monoclinic



2.
Below is a geometry-optimized Ba3InCu structure, with properties calculated at the PBE level.

Unit cell a=4.460 b=9.972 c=9.975 alpha=91.85 beta=102.90 gamma=90.03
Positions (direct):
Ba: 0.000 0.000 0.000
Ba: 0.085 0.644 0.169
Ba: 0.291 0.021 0.581
Ba: 0.433 0.378 0.867
Ba: 0.651 0.266 0.301
Ba: 0.794 0.623 0.588
In: 0.435 0.740 0.871
In: 0.649 0.903 0.299
Cu: 0.270 0.359 0.538
Cu: 0.815 0.285 0.628

Properties
Total DFT energy (no corrections)   -0.098 hartree per atom
Size of the total moment   0.00 μB/cell
Energy relative to the lowest polymorph listed for this composition   0.000 eV per formula unit
Symmetry   No. 1
Energy relative to the elements   -0.151 eV per atom
Crystal system   triclinic